Below is SrPdO3 after structural relaxation, with properties calculated at the PBE-GGA level.

Summary:
total energy = -5.502 eV/atom
space-group type = C2/m (12)

Unit cell a=6.132 b=6.132 c=5.552 alpha=116.74 beta=116.74 gamma=51.65
Fractional positions:
O 0.210 0.210 0.213
O 0.737 0.260 0.250
O 0.260 0.737 0.250
O 0.740 0.263 0.750
O 0.263 0.740 0.750
O 0.790 0.790 0.787
Pd 0.000 0.000 0.000
Pd 0.000 0.000 0.500
Sr 0.688 0.688 0.189
Sr 0.312 0.312 0.811